# Al4CoRh5, relaxed, DFT PBE
data_Al4CoRh5
_cell_length_a 2.9769
_cell_length_b 2.9769
_cell_length_c 15.1575
_cell_angle_alpha 90.00
_cell_angle_beta 90.00
_cell_angle_gamma 90.00
_symmetry_space_group_name_H-M 'P 4/m m m'
_symmetry_Int_Tables_number 123
_symmetry_space_group_name_Hall '-P 4 2'
loop_
_atom_site_label
_atom_site_type_symbol
_atom_site_fract_x
_atom_site_fract_y
_atom_site_fract_z
_atom_site_occupancy
Al1 Al 0.0000 0.0000 0.1005 1
Al2 Al 0.0000 0.0000 0.3020 1
Co1 Co 0.0000 0.0000 0.5000 1
Rh1 Rh 0.5000 0.5000 0.0000 1
Rh2 Rh 0.5000 0.5000 0.1984 1
Rh3 Rh 0.5000 0.5000 0.3968 1
# Energy relative to the elements: -850 meV/atom
# Energy: -6.73 eV per atom